# La2Tb2NdSm

An optimized crystal structure of La2Tb2NdSm (PBE-GGA, the Alexandria database).

Structure (POSCAR):
```
La2Tb2NdSm
1.0
-0.1027 -1.7792 -5.5111
-6.0143 -3.6198 1.2807
-5.3903 8.0697 -2.5048
La Tb Nd Sm
4 4 2 2
Cartesian
-5.4856 7.1523 -5.2506
-2.4551 0.4300 -0.0931
-3.1038 -2.7254 -2.1060
-9.0348 3.9685 -1.1129
-6.0363 5.7909 -1.7571
-3.4041 0.8717 -3.2617
-5.4540 -1.3927 0.5512
-8.2004 1.7403 -3.4528
-2.7420 4.0069 -1.2425
-5.7489 2.1966 -0.6021
-5.1865 3.5401 -4.0900
-6.4180 -0.9280 -2.6245
```

Calculated values
The symmetry is No. 51. The calculated total energy comes out at -4.7051 eV per atom. The value obtained for the volume is 34.52 A^3/atom.